PBE NaLiCd2, relaxed; E above lowest polymorph = 10 meV per atom; space-group type = F-43m
1.0
-0.300 -4.677 1.300
-4.289 -1.894 1.295
-2.226 -3.196 -2.913
Cd Li Na
2 1 1
Cartesian
0.000 0.000 0.000
-5.112 -7.325 -0.239
-3.408 -4.883 -0.159
-1.704 -2.442 -0.080